# Tb2Nd2Ho4Er, optimized geometry, DFT GGA-PBE
# Space-group type   C2/m, No. 12
# Crystal system   monoclinic
# Calculated total energy   -4.63 eV per atom
data_Tb2Nd2Ho4Er
_cell_length_a 3.5963
_cell_length_b 9.5006
_cell_length_c 9.5575
_cell_angle_alpha 115.21
_cell_angle_beta 90.00
_cell_angle_gamma 100.91
_space_group_name_H-M_alt 'P 1'
_space_group_IT_number 1
loop_
_space_group_symop_operation_xyz
'x,y,z'
loop_
_atom_site_label
_atom_site_fract_x
_atom_site_fract_y
_atom_site_fract_z
Tb1 0.1470 0.2941 0.6628
Er1 0.0000 0.0000 0.0000
Ho1 0.5194 0.0388 0.3342
Ho2 0.8148 0.6295 0.6640
Nd1 0.3348 0.6696 0.0001
Nd2 0.6652 0.3304 0.9999
Ho3 0.4806 0.9612 0.6658
Tb2 0.8530 0.7059 0.3372
Ho4 0.1852 0.3705 0.3360